No. 1
Computed, not measured: a geometry-optimized GeS2I2 structure at the PBE-GGA level of DFT.

Cell lengths 3.5719, 3.5719, 24.0196 Å; angles 90.00, 90.00, 90.00 degrees
With the nearest neighbours (Å) after each atom.
Space group I4/mmm (No. 139)
Asymmetric unit:
Ge1 0.0000 0.0000 0.0000 (multiplicity 2)  8 I 3.15
S1 0.0000 0.5000 0.2500 (multiplicity 4)  4 S 2.53
I1 0.0000 0.0000 0.4214 (multiplicity 4)  4 Ge 3.15

Computed properties:
The value obtained for the size of the total moment is 0.0 Bohr magnetons per cell. The calculation puts the energy relative to the elements, uncorrected at 291 meV/atom. The calculation puts the final energy at -2.903 eV per atom.

***

No. 2
Computed, not measured: a geometry-optimized GeS5I structure at the PBE-GGA level of DFT.

Cell lengths 3.5280, 7.7199, 8.3033 Å; angles 76.96, 77.75, 88.68 degrees
With the nearest neighbours (Å) after each atom.
Space group P1 (No. 1)
Asymmetric unit:
Ge1 0.0000 0.0000 0.0000 (multiplicity 1)  4 S 2.19-2.29
S1 0.1167 0.6558 0.6321 (multiplicity 1)  1 S 1.94
S2 0.1287 0.1321 0.7311 (multiplicity 1)  1 Ge 2.19
S3 0.4595 0.8210 0.0996 (multiplicity 1)  2 Ge 2.27
S4 0.6368 0.5184 0.7331 (multiplicity 1)  1 S 1.94
S5 0.9320 0.2478 0.1101 (multiplicity 1)  1 Ge 2.29, 1 I 2.41
I1 0.7862 0.1534 0.4146 (multiplicity 1)  1 S 2.41

Computed properties:
The value obtained for the size of the total moment is 0.0 Bohr magnetons per cell. The calculation puts the energy relative to the elements, uncorrected at 107 meV/atom. The calculation puts the final energy at -3.722 eV per atom.

***

No. 3
Computed, not measured: a geometry-optimized Ge3S2I2 structure at the PBE-GGA level of DFT.

Cell lengths 7.4507, 7.4896, 8.4674 Å; angles 90.00, 109.64, 90.00 degrees
With the nearest neighbours (Å) after each atom.
Space group P2_1/c (No. 14)
Asymmetric unit:
Ge1 0.0000 0.0000 0.0000 (multiplicity 2)  2 S 2.68
Ge2 0.3646 0.9997 0.7995 (multiplicity 4)  2 S 2.38-2.41
S1 0.3416 0.1464 0.0414 (multiplicity 4)  2 Ge 2.38-2.41
I1 0.1331 0.6851 0.8427 (multiplicity 4)  3 Ge 3.01-3.06

Computed properties:
The value obtained for the size of the total moment is 0.0 Bohr magnetons per cell. The calculation puts the energy relative to the elements, uncorrected at -187 meV/atom. The calculation puts the final energy at -3.788 eV per atom.

***

No. 4
Computed, not measured: a geometry-optimized Ge2S3I2 structure at the PBE-GGA level of DFT.

Cell lengths 11.4338, 11.4338, 9.9993 Å; angles 90.00, 90.00, 120.00 degrees
With the nearest neighbours (Å) after each atom.
Space group P-3 (No. 147)
Asymmetric unit:
Ge1 0.1974 0.7281 0.2263 (multiplicity 6)  3 S 2.24-2.25
Ge2 0.3333 0.6667 0.9427 (multiplicity 2)  3 S 2.25
S1 0.1199 0.5196 0.3103 (multiplicity 6)  2 Ge 2.25
S2 0.1864 0.7334 0.0027 (multiplicity 6)  2 Ge 2.24-2.25
I1 0.0330 0.7994 0.3082 (multiplicity 6)  1 Ge 2.53
I2 0.3333 0.6667 0.6903 (multiplicity 2)  1 Ge 2.52

Computed properties:
The value obtained for the size of the total moment is 0.0 Bohr magnetons per cell. The calculation puts the energy relative to the elements, uncorrected at -317 meV/atom. The calculation puts the final energy at -3.848 eV per atom.

***

No. 5
Computed, not measured: a geometry-optimized GeSbS2I structure at the PBE-GGA level of DFT.

Cell lengths 9.6038, 4.0420, 9.7328 Å; angles 90.00, 108.50, 90.00 degrees
With the nearest neighbours (Å) after each atom.
Space group P2_1/m (No. 11)
Asymmetric unit:
Ge1 0.1543 0.2500 0.0058 (multiplicity 2)  3 S 2.43-2.53
Sb1 0.3234 0.7500 0.4720 (multiplicity 2)  3 S 2.52-2.72
S1 0.1035 0.7500 0.1385 (multiplicity 2)  3 Ge 2.43-2.53
S2 0.4244 0.2500 0.3429 (multiplicity 2)  3 Sb 2.52-2.72
I1 0.2317 0.2500 0.6702 (multiplicity 2)  2 Sb 3.11

Computed properties:
The value obtained for the size of the total moment is 0.0 Bohr magnetons per cell. The calculation puts the energy relative to the elements, uncorrected at -232 meV/atom. The calculation puts the final energy at -3.941 eV per atom.

***

No. 6
Computed, not measured: a geometry-optimized GeSb2SI structure at the PBE-GGA level of DFT.

Cell lengths 5.4555, 5.4555, 5.3626 Å; angles 90.00, 90.00, 90.00 degrees
With the nearest neighbours (Å) after each atom.
Space group P4/mmm (No. 123)
Asymmetric unit:
Ge1 0.0000 0.0000 0.0000 (multiplicity 1)  2 I 2.68, 4 Sb 2.73
Sb1 0.0000 0.5000 0.0000 (multiplicity 2)  2 Ge 2.73
S1 0.5000 0.5000 0.5000 (multiplicity 1)  8 Sb 3.82, 4 I 3.86
I1 0.0000 0.0000 0.5000 (multiplicity 1)  2 Ge 2.68

Computed properties:
The value obtained for the size of the total moment is 0.0 Bohr magnetons per cell. The calculation puts the energy relative to the elements, uncorrected at 830 meV/atom. The calculation puts the final energy at -2.878 eV per atom.

***

No. 7
Computed, not measured: a geometry-optimized GeSb2SI structure at the PBE-GGA level of DFT.

Cell lengths 5.2411, 5.2411, 5.5131 Å; angles 90.00, 90.00, 90.00 degrees
With the nearest neighbours (Å) after each atom.
Space group P4/mmm (No. 123)
Asymmetric unit:
Ge1 0.0000 0.0000 0.0000 (multiplicity 1)  4 I 3.71, 8 Sb 3.80
Sb1 0.0000 0.5000 0.5000 (multiplicity 2)  2 S 2.62
S1 0.5000 0.5000 0.5000 (multiplicity 1)  4 Sb 2.62, 2 I 2.76
I1 0.5000 0.5000 0.0000 (multiplicity 1)  2 S 2.76

Computed properties:
The value obtained for the size of the total moment is 0.0 Bohr magnetons per cell. The calculation puts the energy relative to the elements, uncorrected at 692 meV/atom. The calculation puts the final energy at -3.016 eV per atom.

***

No. 8
Computed, not measured: a geometry-optimized Sm6Ge2S3I structure at the PBE-GGA level of DFT.

Cell lengths 18.1093, 4.1511, 8.4337 Å; angles 90.00, 102.20, 90.00 degrees
With the nearest neighbours (Å) after each atom.
Space group C2/m (No. 12)
Asymmetric unit:
Sm1 0.0033 0.0000 0.2877 (multiplicity 4)  3 S 2.75-2.94, 1 Ge 2.90
Sm2 0.1668 0.5000 0.5837 (multiplicity 4)  3 S 2.95-2.99, 3 Ge 2.95-2.97
Sm3 0.1800 0.5000 0.0979 (multiplicity 4)  3 S 2.81-2.99, 2 Ge 2.91
Ge1 0.1664 0.0000 0.3322 (multiplicity 4)  6 Sm 2.90-2.97
S1 0.0000 0.5000 0.5000 (multiplicity 2)  6 Sm 2.75-2.95
S2 0.1612 0.0000 0.8365 (multiplicity 4)  6 Sm 2.81-2.99
I1 0.0000 0.5000 0.0000 (multiplicity 2)  6 Sm 3.18-3.19

Computed properties:
The value obtained for the size of the total moment is 0.0 Bohr magnetons per cell. The calculation puts the energy relative to the elements, uncorrected at -1469 meV/atom. The calculation puts the final energy at -5.760 eV per atom.

***

No. 9
Computed, not measured: a geometry-optimized TaGe2SI structure at the PBE-GGA level of DFT.

Cell lengths 4.7622, 4.7622, 5.0834 Å; angles 90.00, 90.00, 90.00 degrees
With the nearest neighbours (Å) after each atom.
Space group P4/mmm (No. 123)
Asymmetric unit:
Ta1 0.0000 0.0000 0.0000 (multiplicity 1)  4 I 3.37, 8 Ge 3.48
Ge1 0.0000 0.5000 0.5000 (multiplicity 2)  2 S 2.38
S1 0.5000 0.5000 0.5000 (multiplicity 1)  4 Ge 2.38, 2 I 2.54
I1 0.5000 0.5000 0.0000 (multiplicity 1)  2 S 2.54

Computed properties:
The value obtained for the size of the total moment is 0.0 Bohr magnetons per cell. The calculation puts the energy relative to the elements, uncorrected at 1279 meV/atom. The calculation puts the final energy at -4.074 eV per atom.

***

No. 10
Computed, not measured: a geometry-optimized Tb6Ge2S3I structure at the PBE-GGA level of DFT.

Cell lengths 17.7736, 4.0772, 8.2757 Å; angles 90.00, 102.24, 90.00 degrees
With the nearest neighbours (Å) after each atom.
Space group C2/m (No. 12)
Asymmetric unit:
Tb1 0.0035 0.0000 0.2891 (multiplicity 4)  3 S 2.69-2.88, 1 Ge 2.84
Tb2 0.1669 0.5000 0.5828 (multiplicity 4)  3 Ge 2.90-2.91, 3 S 2.90-2.95
Tb3 0.1807 0.5000 0.0991 (multiplicity 4)  3 S 2.76-2.95, 2 Ge 2.85
Ge1 0.1664 0.0000 0.3321 (multiplicity 4)  6 Tb 2.84-2.91
S1 0.0000 0.5000 0.5000 (multiplicity 2)  6 Tb 2.69-2.90
S2 0.1606 0.0000 0.8365 (multiplicity 4)  6 Tb 2.76-2.95
I1 0.0000 0.5000 0.0000 (multiplicity 2)  6 Tb 3.13-3.14

Computed properties:
The value obtained for the size of the total moment is 0.0 Bohr magnetons per cell. The calculation puts the energy relative to the elements, uncorrected at -1451 meV/atom. The calculation puts the final energy at -5.697 eV per atom.